(1)
{"formula": "MnB3N3", "functional": "PBE", "state": "optimized geometry", "formation_energy_uncorrected_ev_per_atom": 0.23, "cell": [[-3.821, -0.590, -2.554], [-2.113, -1.977, 3.618], [-1.551, 4.148, 1.362]], "species": ["Mn", "Mn", "B", "B", "B", "B", "B", "B", "N", "N", "N", "N", "N", "N"], "frac_coords": [[0.500, 0.500, 0.500], [0.000, 0.000, 0.000], [0.250, 0.000, 0.500], [0.000, 0.500, 0.250], [0.500, 0.750, 0.000], [0.750, 0.000, 0.500], [0.000, 0.500, 0.750], [0.500, 0.250, 0.000], [0.000, 0.250, 0.500], [0.000, 0.750, 0.500], [0.500, 0.000, 0.750], [0.750, 0.500, 0.000], [0.500, 0.000, 0.250], [0.250, 0.500, 0.000]]}


(2)
{"formula": "Mn2BN", "functional": "PBE", "state": "optimized geometry", "formation_energy_uncorrected_ev_per_atom": 0.46, "cell": [[0.000, 2.538, 2.538], [2.538, 0.000, 2.538], [2.538, 2.538, 0.000]], "species": ["B", "Mn", "Mn", "N"], "frac_coords": [[0.000, 0.000, 0.000], [0.250, 0.250, 0.250], [0.750, 0.750, 0.750], [0.500, 0.500, 0.500]]}


(3)
{"formula": "Mn2BN", "functional": "PBE", "state": "optimized geometry", "formation_energy_uncorrected_ev_per_atom": 0.14, "cell": [[-0.895, -2.729, -3.390], [1.668, -3.412, 2.306], [-3.556, -3.863, 1.138]], "species": ["B", "B", "Mn", "Mn", "Mn", "Mn", "N", "N"], "frac_coords": [[0.500, 0.500, 0.000], [0.250, 0.750, 0.500], [0.648, 0.125, 0.250], [0.102, 0.625, 0.250], [0.375, 0.352, 0.750], [0.875, 0.898, 0.750], [0.000, 0.000, 0.000], [0.750, 0.250, 0.500]]}


In the order shown, the computed DFT total energy values come out to -7.513 -7.879 -8.195 eV/atom.